Entry 1:
DFT (PBE-GGA) results for a geometry-optimized BaGaAs2Br structure.

Values from the calculation:
SG: P4/mmm, No. 123
Volume, Å³/atom: 50.84
DFT total energy, eV for the cell shown: -14.160
E_form (uncorrected), eV per formula unit: 1.76
Energy above the lowest structure with this stoichiometry, eV per formula unit: 4.53

Structure (POSCAR):
```
BaGaAs2Br
1.0
6.419 0.000 0.000
0.000 6.419 0.000
0.000 0.000 6.171
As Ga Ba Br
2 1 1 1
Direct
0.000 0.500 0.000 As
0.500 0.000 0.000 As
0.500 0.500 0.500 Ga
0.000 0.000 0.000 Ba
0.000 0.000 0.500 Br
```



Entry 2:
DFT (PBE-GGA) results for a geometry-optimized Mg2TaTc structure.

Values from the calculation:
SG: Cmm2, No. 35
Volume, Å³/atom: 18.65
DFT total energy, eV for the cell shown: -25.077
Energy above the lowest structure with this stoichiometry, eV per formula unit: 0.32

Structure (POSCAR):
```
Mg2TaTc
1.0
-1.165 -2.416 1.159
-0.245 0.069 -2.911
8.327 -4.402 -0.804
Mg Tc Ta
2 1 1
Direct
0.500 0.500 0.260 Mg
0.000 0.000 0.975 Mg
0.500 0.500 0.737 Tc
0.000 0.000 0.528 Ta
```



Entry 3:
DFT (PBE-GGA) results for a geometry-optimized CaMoOs4 structure.

Values from the calculation:
SG: F-43m, No. 216
Volume, Å³/atom: 16.73
DFT total energy, eV for the cell shown: -55.551

Structure (POSCAR):
```
CaMoOs4
1.0
-2.379 0.185 4.639
-5.101 1.062 0.275
-3.374 -3.742 1.352
Mo Os Ca
1 4 1
Direct
0.000 0.000 0.000 Mo
0.375 0.375 0.375 Os
0.874 0.375 0.375 Os
0.375 0.874 0.375 Os
0.375 0.375 0.874 Os
0.750 0.750 0.750 Ca
```



Number 1: size of the total moment 4.0 μB/f.u.. Number 2: size of the total moment 0.0 μB/f.u.. Number 3: size of the total moment 0.0 μB/f.u..